Here is crystalline KRbIn2Pt at its relaxed geometry from Alexandria. Energies are from PBE-GGA.

Lattice parameters (Å, degrees): 5.2875 5.2875 6.3916 90.00 90.00 90.00
Sites, in units of the cell vectors:
K: 0.5000 0.5000 0.5000
Rb: 0.0000 0.0000 0.5000
Pt: 0.0000 0.0000 0.0000
In: 0.0000 0.5000 0.0000
In: 0.5000 0.0000 0.0000

Summary:
Density of states at the Fermi level, states/eV/cell: 2.84
Mass density, Mg/m³: 5.1
Total moment, μB per cell: 0.0
Electronic total energy, eV/atom: -2.882
ΔH_f (0 K), eV per atom: -0.165
ΔE to the lowest computed polymorph, eV/atom: 0.041

Here is crystalline LaEuCdBi at its relaxed geometry from Alexandria. Energies are from PBE-GGA.

Lattice parameters (Å, degrees): 5.6308 5.6308 5.6308 60.00 60.00 60.00
Each line ends with the local moment (μB).
Sites, in units of the cell vectors:
Eu: 0.5000 0.5000 0.5000  6.91
Cd: 0.7500 0.7500 0.7500  0.02
Bi: 0.2500 0.2500 0.2500  -0.05
La: 0.0000 0.0000 0.0000  0.17

Summary:
Density of states at the Fermi level, states/eV/cell: 4.08
Mass density, Mg/m³: 8.1
Total moment, μB per cell: 7.7
Electronic total energy, eV/atom: -5.561
ΔH_f (0 K), eV per atom: -0.561

Here is crystalline TaCu2P at its relaxed geometry from Alexandria. Energies are from PBE-GGA.

Lattice parameters (Å, degrees): 4.6442 4.6442 4.6442 131.40 131.40 71.17
Sites, in units of the cell vectors:
Cu: 0.0000 0.0000 0.0000
Cu: 0.2500 0.7500 0.5000
P: 0.5000 0.5000 0.0000
Ta: 0.7500 0.2500 0.5000

Summary:
Density of states at the Fermi level, states/eV/cell: 4.43
Mass density, Mg/m³: 10.2
Total moment, μB per cell: 0.0
Electronic total energy, eV/atom: -6.265
ΔH_f (0 K), eV per atom: 0.098

Here is crystalline PmGdH at its relaxed geometry from Alexandria. Energies are from PBE-GGA.

Lattice parameters (Å, degrees): 3.6787 3.6787 5.7697 90.00 90.00 120.00
Each line ends with the local moment (μB).
Sites, in units of the cell vectors:
H: 0.6667 0.3333 0.3383  0.01
Gd: 0.3333 0.6667 0.5728  -7.15
Pm: 0.0000 0.0000 0.0889  0.01

Summary:
Density of states at the Fermi level, states/eV/cell: 2.86
Mass density, Mg/m³: 7.4
Total moment, μB per cell: 7.4
Electronic total energy, eV/atom: -7.625

Here is crystalline Ba8Na6Pt at its relaxed geometry from Alexandria. Energies are from PBE-GGA.

Lattice parameters (Å, degrees): 6.9191 11.3846 11.3846 120.00 90.00 90.00
Sites, in units of the cell vectors:
Ba: 0.7447 0.0156 0.2359
Ba: 0.7447 0.7641 0.7797
Ba: 0.7447 0.2203 0.9844
Ba: 0.2553 0.9844 0.7641
Ba: 0.2553 0.2359 0.2203
Ba: 0.2553 0.7797 0.0156
Ba: 0.7455 0.3333 0.6667
Ba: 0.2545 0.6667 0.3333
Na: 0.7518 0.6108 0.0877
Na: 0.7518 0.9123 0.5231
Na: 0.7518 0.4769 0.3892
Na: 0.2482 0.3892 0.9123
Na: 0.2482 0.0877 0.4769
Na: 0.2482 0.5231 0.6108
Pt: 0.5000 0.0000 0.0000

Summary:
Density of states at the Fermi level, states/eV/cell: 11.52
Mass density, Mg/m³: 3.1
Total moment, μB per cell: 0.0
Electronic total energy, eV/atom: -2.073
ΔH_f (0 K), eV per atom: -0.117

Here is crystalline Cd5In3Hg4 at its relaxed geometry from Alexandria. Energies are from PBE-GGA.

Lattice parameters (Å, degrees): 6.0631 7.1911 8.7163 91.54 69.65 65.07
Sites, in units of the cell vectors:
Cd: 0.6595 0.8468 0.8343
Cd: 0.5000 0.5000 0.5000
Cd: 0.4252 0.3216 0.8280
Cd: 0.5748 0.6784 0.1720
Cd: 0.3405 0.1532 0.1657
In: 0.2396 0.0036 0.5172
In: 0.0000 0.5000 0.5000
In: 0.7604 0.9964 0.4828
Hg: 0.8993 0.3590 0.8424
Hg: 0.1702 0.8222 0.8373
Hg: 0.8298 0.1778 0.1627
Hg: 0.1007 0.6410 0.1576

Summary:
Density of states at the Fermi level, states/eV/cell: 4.88
Mass density, Mg/m³: 9.0
Total moment, μB per cell: 0.0
Electronic total energy, eV/atom: -1.124
ΔH_f (0 K), eV per atom: 0.043
ΔE to the lowest computed polymorph, eV/atom: 0.000